The following is a DFT calculation (PBE) of a geometry-optimized NaBeOF2 structure.

abc: 3.7627 3.7627 3.3234
angles: 90.00 90.00 90.00
With the nearest neighbours (Å) after each atom.
Positions (direct):
Na: 0.0000 0.0000 0.0000  8 F 2.51, 4 O 2.66
Be: 0.5000 0.5000 0.5000  2 O 1.66
O: 0.5000 0.5000 0.0000  2 Be 1.66
F: 0.0000 0.5000 0.5000  2 Be 1.88
F: 0.5000 0.0000 0.5000  2 Be 1.88

Output
* SG: P4/mmm, No. 123
* final energy: -4.895 eV per atom
* raw formation energy: -2.146 eV per atom
* relative energy among the computed polymorphs: 0.0 kJ/mol of atoms